AcHfCd: optimized geometry, PBE-GGA.

Results
Crystal system = orthorhombic

Structure (CIF):
```
data_AcHfCd
_symmetry_space_group_name_H-M 'P 1'
_symmetry_Int_Tables_number 1
_cell_length_a 3.5244
_cell_length_b 3.5221
_cell_length_c 16.2549
_cell_angle_alpha 90.00
_cell_angle_beta 90.00
_cell_angle_gamma 120.02
loop_
_symmetry_equiv_pos_as_xyz
'x,y,z'
loop_
_atom_site_label
_atom_site_type_symbol
_atom_site_fract_x
_atom_site_fract_y
_atom_site_fract_z
_atom_site_occupancy
Hf1 Hf 0.2777 0.5554 0.1467 1
Ac1 Ac 0.6113 0.2225 0.6839 1
Cd1 Cd 0.6115 0.2230 0.0000 1
Ac2 Ac 0.6113 0.2225 0.3161 1
Hf2 Hf 0.2777 0.5554 0.8533 1
Cd2 Cd 0.2771 0.5543 0.5000 1
```

---

PW2: optimized geometry, PBE-GGA.

Results
Crystal system = monoclinic

Structure (CIF):
```
data_PW2
_symmetry_space_group_name_H-M 'P 1'
_symmetry_Int_Tables_number 1
_cell_length_a 5.3783
_cell_length_b 5.3783
_cell_length_c 5.8383
_cell_angle_alpha 74.85
_cell_angle_beta 74.85
_cell_angle_gamma 33.35
loop_
_symmetry_equiv_pos_as_xyz
'x,y,z'
loop_
_atom_site_label
_atom_site_type_symbol
_atom_site_fract_x
_atom_site_fract_y
_atom_site_fract_z
_atom_site_occupancy
W1 W 0.9639 0.9639 0.2581 1
P1 P 0.3467 0.3467 0.0602 1
W2 W 0.3254 0.3254 0.6445 1
W3 W 0.0361 0.0361 0.7419 1
P2 P 0.6533 0.6533 0.9398 1
W4 W 0.6746 0.6746 0.3555 1
```

---

Ba2Tl3Hg4: optimized geometry, PBE-GGA.

Results
Crystal system = orthorhombic
Energy above the most stable polymorph in this dataset = 0.032 eV/atom

Structure (CIF):
```
data_Ba2Tl3Hg4
_symmetry_space_group_name_H-M 'P 1'
_symmetry_Int_Tables_number 1
_cell_length_a 6.6362
_cell_length_b 9.7211
_cell_length_c 9.5969
_cell_angle_alpha 90.00
_cell_angle_beta 110.23
_cell_angle_gamma 90.00
loop_
_symmetry_equiv_pos_as_xyz
'x,y,z'
loop_
_atom_site_label
_atom_site_type_symbol
_atom_site_fract_x
_atom_site_fract_y
_atom_site_fract_z
_atom_site_occupancy
Hg1 Hg 0.3179 0.4643 0.6358 1
Hg2 Hg 0.7951 0.2500 0.0903 1
Ba1 Ba 0.8858 0.4195 0.7717 1
Hg3 Hg 0.1821 0.9643 0.3642 1
Hg4 Hg 0.7049 0.7500 0.9097 1
Tl1 Tl 0.0372 0.7500 0.5743 1
Tl2 Tl 0.5372 0.7500 0.5743 1
Hg5 Hg 0.6821 0.5357 0.3642 1
Tl3 Tl 0.9628 0.2500 0.4257 1
Ba2 Ba 0.3858 0.0805 0.7717 1
Hg6 Hg 0.8179 0.0357 0.6358 1
Hg7 Hg 0.2951 0.2500 0.0903 1
Hg8 Hg 0.2049 0.7500 0.9097 1
Tl4 Tl 0.5000 0.5000 0.0000 1
Ba3 Ba 0.6142 0.9195 0.2283 1
Ba4 Ba 0.1142 0.5805 0.2283 1
Tl5 Tl 0.0000 0.0000 0.0000 1
Tl6 Tl 0.4628 0.2500 0.4257 1
```

---

Total magnetization, respectively: 0.000 0.000 0.000 μB/cell.
Energy of formation, respectively: 289 -94 -309 meV/atom.